No. 1
Density functional theory data (GGA-PBE) for Sc2ClO after structural relaxation.

The crystal system is tetragonal. The energy above the most stable polymorph in this dataset is 0.0000 eV/atom. As for the formation energy from raw total energies: -1.84 eV/atom.

The space group is I-42d (No. 122) and the conventional cell measures 5.414, 5.414 and 10.452 Å, with angles of 90.00, 90.00 and 90.00 degrees. Symmetry generates all atoms from Sc at (0.173, 0.250, 0.125), Cl at (0.000, 0.000, 0.500) and O at (0.000, 0.000, 0.000).

No. 2
Density functional theory data (GGA-PBE) for Mg2AlZn2 after structural relaxation.

The crystal system is tetragonal. The energy above the most stable polymorph in this dataset is 0.0000 eV/atom. The formation energy from the elements comes out at -44 meV/atom.

The space group is P4/mbm (No. 127) and the conventional cell measures 6.662, 6.662 and 4.196 Å, with angles of 90.00, 90.00 and 90.00 degrees. Symmetry generates all atoms from Mg at (0.169, 0.331, 0.000), Al at (0.000, 0.000, 0.500) and Zn at (0.134, 0.634, 0.500).

No. 3
Density functional theory data (GGA-PBE) for GaCu8Au3 after structural relaxation.

The crystal system is tetragonal. The formation energy from the elements comes out at 339 meV/atom.

The space group is I-42m (No. 121) and the conventional cell measures 6.737, 6.737 and 8.776 Å, with angles of 90.00, 90.00 and 90.00 degrees. Symmetry generates all atoms from Ga at (0.000, 0.000, 0.000), Cu at (0.134, 0.134, 0.229), Cu at (0.239, 0.239, 0.964), Au at (0.000, 0.000, 0.500) and Au at (0.000, 0.500, 0.250).

No. 4
Density functional theory data (GGA-PBE) for LuScIr2 after structural relaxation.

The crystal system is tetragonal. The formation energy from the elements comes out at -984 meV/atom.

The space group is P4/mmm (No. 123) and the conventional cell measures 3.198, 3.198 and 6.957 Å, with angles of 90.00, 90.00 and 90.00 degrees. Symmetry generates all atoms from Lu at (0.000, 0.000, 0.000), Sc at (0.000, 0.000, 0.500) and Ir at (0.500, 0.500, 0.262).